No. 1
A relaxed structure of PmRe3Si3. Source: Alexandria, functional PBE-GGA.

## Properties
Mass density   9.012 g/cm³
Crystal system   cubic
Spin magnetization   0.032 μB per atom
SG   Pm-3n, No. 223
ΔE_f (raw)   2.76 eV per formula unit
Relative energy among the computed polymorphs   740 meV per atom

Structure (POSCAR):
```
PmRe3Si3
1.0
6.622 0.000 0.000
0.000 6.622 0.000
0.000 0.000 6.622
Pm Re Si
2 6 6
Direct
0.000 0.000 0.000
0.500 0.500 0.500
0.000 0.250 0.500
0.000 0.750 0.500
0.250 0.500 0.000
0.500 0.000 0.250
0.500 0.000 0.750
0.750 0.500 0.000
0.000 0.500 0.250
0.000 0.500 0.750
0.250 0.000 0.500
0.500 0.250 0.000
0.500 0.750 0.000
0.750 0.000 0.500
```

***

No. 2
A relaxed structure of Pm3Re2Si9. Source: Alexandria, functional PBE-GGA.

## Properties
Mass density   7.173 g/cm³
Crystal system   orthorhombic
Spin magnetization   0.000 μB per atom
SG   Immm, No. 71
ΔE_f (raw)   -5.23 eV per formula unit

Structure (POSCAR):
```
Pm3Re2Si9
1.0
-2.087 5.049 5.822
2.087 -5.049 5.822
2.087 5.049 -5.822
Pm Re Si
3 2 9
Direct
0.000 0.000 0.000
0.323 0.323 0.000
0.677 0.677 0.000
0.267 0.500 0.767
0.733 0.500 0.233
0.042 0.671 0.370
0.155 0.876 0.279
0.301 0.671 0.630
0.403 0.124 0.279
0.500 0.000 0.500
0.597 0.876 0.721
0.699 0.329 0.370
0.845 0.124 0.721
0.958 0.329 0.630
```

***

No. 3
A relaxed structure of PmSm2Re9. Source: Alexandria, functional PBE-GGA.

## Properties
Mass density   15.662 g/cm³
Crystal system   trigonal
Spin magnetization   0.000 μB per atom
SG   R-3m, No. 166
Formation energy   0.043 eV per atom

Structure (POSCAR):
```
PmSm2Re9
1.0
2.704 1.561 8.880
-2.704 1.561 8.880
0.000 -3.122 8.880
Pm Sm Re
1 2 9
Direct
0.000 0.000 0.000
0.144 0.144 0.144
0.856 0.856 0.856
0.076 0.587 0.587
0.337 0.337 0.337
0.413 0.413 0.924
0.413 0.924 0.413
0.500 0.500 0.500
0.587 0.076 0.587
0.587 0.587 0.076
0.663 0.663 0.663
0.924 0.413 0.413
```

***

No. 4
A relaxed structure of Pm2SmRe9. Source: Alexandria, functional PBE-GGA.

## Properties
Mass density   15.593 g/cm³
Crystal system   trigonal
Spin magnetization   0.000 μB per atom
SG   R-3m, No. 166
Formation energy   0.058 eV per atom

Structure (POSCAR):
```
Pm2SmRe9
1.0
2.703 1.560 8.906
-2.703 1.560 8.906
0.000 -3.121 8.906
Pm Sm Re
2 1 9
Direct
0.145 0.145 0.145
0.855 0.855 0.855
0.000 0.000 0.000
0.076 0.586 0.586
0.336 0.336 0.336
0.414 0.414 0.924
0.414 0.924 0.414
0.500 0.500 0.500
0.586 0.076 0.586
0.586 0.586 0.076
0.664 0.664 0.664
0.924 0.414 0.414
```

***

No. 5
A relaxed structure of PmSmRe. Source: Alexandria, functional PBE-GGA.

## Properties
Mass density   9.205 g/cm³
Crystal system   monoclinic
Spin magnetization   0.000 μB per atom
SG   C2/m, No. 12
Formation energy   0.145 eV per atom

Structure (POSCAR):
```
PmSmRe
1.0
13.681 0.000 0.000
0.000 4.204 0.000
-0.990 0.000 6.042
Pm Sm Re
4 4 4
Direct
0.156 0.000 0.352
0.344 0.500 0.648
0.656 0.500 0.352
0.844 0.000 0.648
0.069 0.500 0.781
0.431 0.000 0.219
0.569 0.000 0.781
0.931 0.500 0.219
0.243 0.500 0.098
0.257 0.000 0.902
0.743 0.000 0.098
0.757 0.500 0.902
```

***

No. 6
A relaxed structure of PmReSn2. Source: Alexandria, functional PBE-GGA.

## Properties
Mass density   9.595 g/cm³
Crystal system   trigonal
Spin magnetization   0.000 μB per atom
SG   R-3m, No. 166
Formation energy   0.420 eV per atom

Structure (POSCAR):
```
PmReSn2
1.0
3.272 0.000 0.000
-1.636 2.833 0.000
0.000 0.000 31.848
Pm Re Sn
3 3 6
Direct
0.000 0.000 0.000
0.333 0.667 0.667
0.667 0.333 0.333
0.000 0.000 0.500
0.333 0.667 0.167
0.667 0.333 0.833
0.000 0.000 0.101
0.000 0.000 0.899
0.333 0.667 0.565
0.333 0.667 0.768
0.667 0.333 0.232
0.667 0.333 0.435
```

***

What did the sixth record say?
A relaxed structure of PmReSn2. Source: Alexandria, functional PBE-GGA.

## Properties
Mass density   9.595 g/cm³
Crystal system   trigonal
Spin magnetization   0.000 μB per atom
SG   R-3m, No. 166
Formation energy   0.420 eV per atom

Structure (POSCAR):
```
PmReSn2
1.0
3.272 0.000 0.000
-1.636 2.833 0.000
0.000 0.000 31.848
Pm Re Sn
3 3 6
Direct
0.000 0.000 0.000
0.333 0.667 0.667
0.667 0.333 0.333
0.000 0.000 0.500
0.333 0.667 0.167
0.667 0.333 0.833
0.000 0.000 0.101
0.000 0.000 0.899
0.333 0.667 0.565
0.333 0.667 0.768
0.667 0.333 0.232
0.667 0.333 0.435
```